# 1
Compound: KBi2Pt
Source: the Alexandria database
Functional: PBE-GGA
Structure: optimized geometry

ΔH_f (0 K) = 0.009 eV/atom
E = -3.72 eV/atom
Magnetic moment = 0.0000 μB/atom
Calculated volume = 25.654 A^3/atom

Lattice parameters (Å, degrees): 7.432 7.432 7.432 90.00 90.00 90.00
Space group Fm-3m (No. 225)
Unique sites:
K 0.000 0.000 0.000
Bi 0.250 0.250 0.250
Pt 0.000 0.000 0.500

# 2
Compound: KBi3Pt
Source: the Alexandria database
Functional: PBE-GGA
Structure: optimized geometry

ΔH_f (0 K) = -0.156 eV/atom
E = -3.91 eV/atom
Magnetic moment = 0.0000 μB/atom
Calculated volume = 30.215 A^3/atom

Lattice parameters (Å, degrees): 12.856 12.394 8.125 90.00 111.00 90.00
Space group C2/c (No. 15)
Unique sites:
K 0.000 0.010 0.250
K 0.000 0.380 0.250
Bi 0.144 0.202 0.055
Bi 0.177 0.192 0.605
Bi 0.208 0.500 0.106
Pt 0.117 0.362 0.809

# 3
Compound: KBiPt2
Source: the Alexandria database
Functional: PBE-GGA
Structure: optimized geometry

ΔH_f (0 K) = -0.224 eV/atom
E = -4.49 eV/atom
Magnetic moment = 0.0000 μB/atom
Calculated volume = 29.239 A^3/atom

Lattice parameters (Å, degrees): 4.748 7.730 6.801 90.00 110.41 90.00
Space group P2_1/m (No. 11)
Unique sites:
K 0.063 0.250 0.128
Bi 0.342 0.250 0.685
Pt 0.241 0.579 0.483